# 1
# ErTlCdCl6 | Alexandria | PBE-GGA | relaxed
# Uncorrected formation energy in eV per atom: -1.63
data_ErTlCdCl6
_cell_length_a 6.9234
_cell_length_b 6.9234
_cell_length_c 14.0497
_cell_angle_alpha 90.00
_cell_angle_beta 90.00
_cell_angle_gamma 120.00
_space_group_name_H-M_alt 'P -3 1 c'
_space_group_IT_number 163
_space_group_name_Hall '-P 3 2c'
loop_
_atom_site_label
_atom_site_type_symbol
_atom_site_fract_x
_atom_site_fract_y
_atom_site_fract_z
_atom_site_occupancy
Er1 Er 0.3333 0.6667 0.2500 1
Tl1 Tl 0.0000 0.0000 0.0000 1
Cd1 Cd 0.3333 0.6667 0.7500 1
Cl1 Cl 0.0040 0.3755 0.1424 1



# 2
# PuBiAs2 | Alexandria | PBE-GGA | relaxed
# Polymorph energy (0 for the lowest one) in meV per atom: 0
data_PuBiAs2
_cell_length_a 4.902
_cell_length_b 4.902
_cell_length_c 3.896
_cell_angle_alpha 90.00
_cell_angle_beta 90.00
_cell_angle_gamma 90.00
_space_group_name_H-M_alt 'P 4/m m m'
_space_group_IT_number 123
_space_group_name_Hall '-P 4 2'
loop_
_atom_site_label
_atom_site_type_symbol
_atom_site_fract_x
_atom_site_fract_y
_atom_site_fract_z
_atom_site_occupancy
Pu1 Pu 0.000 0.000 0.000 1
Bi1 Bi 0.500 0.500 0.000 1
As1 As 0.000 0.500 0.500 1



# 3
# La2NpS5 | Alexandria | PBE-GGA | relaxed
# Uncorrected formation energy in eV per atom: -1.89
data_La2NpS5
_cell_length_a 11.991
_cell_length_b 8.225
_cell_length_c 7.572
_cell_angle_alpha 90.00
_cell_angle_beta 90.00
_cell_angle_gamma 90.00
_space_group_name_H-M_alt 'P n m a'
_space_group_IT_number 62
loop_
_space_group_symop_operation_xyz
'x,y,z'
'-x,-y,-z'
'-x+1/2,-y,z+1/2'
'x+1/2,y,-z+1/2'
'x+1/2,-y+1/2,-z+1/2'
'-x+1/2,y+1/2,z+1/2'
'-x,y+1/2,-z'
'x,-y+1/2,z'
loop_
_atom_site_label
_atom_site_type_symbol
_atom_site_fract_x
_atom_site_fract_y
_atom_site_fract_z
_atom_site_occupancy
La1 La 0.175 0.001 0.032 1
Np1 Np 0.005 0.250 0.559 1
S1 S 0.002 0.250 0.950 1
S2 S 0.091 0.536 0.665 1
S3 S 0.189 0.250 0.338 1
S4 S 0.212 0.750 0.315 1



# 4
# AlCr2CuH | Alexandria | PBE-GGA | relaxed
# Raw total energy in eV/atom: -6.01
data_AlCr2CuH
_cell_length_a 3.593
_cell_length_b 3.593
_cell_length_c 4.056
_cell_angle_alpha 90.00
_cell_angle_beta 90.00
_cell_angle_gamma 90.00
_space_group_name_H-M_alt 'P 4/m m m'
_space_group_IT_number 123
_space_group_name_Hall '-P 4 2'
loop_
_atom_site_label
_atom_site_type_symbol
_atom_site_fract_x
_atom_site_fract_y
_atom_site_fract_z
_atom_site_occupancy
Al1 Al 0.000 0.000 0.000 1
Cr1 Cr 0.000 0.500 0.500 1
Cu1 Cu 0.500 0.500 0.000 1
H1 H 0.500 0.500 0.500 1



What are the magnetic moment values for these records? In order: 0.000 4.889 12.000 1.440 Bohr magnetons per cell.